Crystalline MnFePt at its relaxed geometry. Source: the Alexandria database, functional PBE.

Structure (POSCAR):
```
MnFePt
1.0
4.713 0.000 0.000
0.000 4.263 0.000
0.000 0.000 8.052
Mn Fe Pt
4 4 4
Direct
0.171 0.250 0.160
0.329 0.750 0.660
0.671 0.250 0.340
0.829 0.750 0.840
0.160 0.250 0.500
0.340 0.750 0.000
0.660 0.250 0.000
0.840 0.750 0.500
0.166 0.250 0.838
0.334 0.750 0.338
0.666 0.250 0.662
0.834 0.750 0.162
```

Its space group is No. 62. As for the total magnetization: 3.290 Bohr magnetons per cell. Its formation energy from the elements is -0.54 eV per formula unit.